Record 1
Below is a geometry-optimized PrSF structure, with properties calculated at the PBE-GGA level.

The structure belongs to space group P4/nmm (No. 129, origin choice 2); the cell edges are 3.990, 3.990 and 7.018 Å and the angles 90.00°, 90.00° and 90.00°. Symmetry generates all atoms from Pr at (0.250, 0.250, 0.230), S at (0.250, 0.250, 0.647) and F at (0.250, 0.750, 0.000).

The uncorrected formation energy is -3.0047 eV/atom.



Record 2
Below is a geometry-optimized KRb2Li structure, with properties calculated at the PBE-GGA level.

The structure belongs to space group Cm (No. 8); the cell edges are 8.277, 4.804 and 13.966 Å and the angles 90.00°, 100.51° and 90.00°. Symmetry generates all atoms from K at (0.000, 0.000, 0.000), Rb at (0.068, 0.500, 0.708), Rb at (0.264, 0.500, 0.292) and Li at (0.166, 0.000, 0.500).

As for the energy above the most stable polymorph in this dataset: 0.033 eV/atom. The energy of formation is 0.15 eV/atom.



Record 3
Below is a geometry-optimized Li5B8C8 structure, with properties calculated at the PBE-GGA level.

The structure belongs to space group P-3m1 (No. 164); the cell edges are 5.4353, 5.4353 and 7.2109 Å and the angles 90.00°, 90.00° and 120.00°. Symmetry generates all atoms from Li at (0.0000, 0.0000, 0.0000), Li at (0.0000, 0.0000, 0.5000), Li at (0.0000, 0.5000, 0.0000), B at (0.1675, 0.3350, 0.7551), B at (0.3333, 0.6667, 0.2561), C at (0.1664, 0.3328, 0.2444) and C at (0.3333, 0.6667, 0.7668).

As for the energy above the most stable polymorph in this dataset: 0.023 eV/atom. The energy of formation is -0.12 eV/atom.



Record 4
Below is a geometry-optimized Ac6NdTl5 structure, with properties calculated at the PBE-GGA level.

The structure belongs to space group Cmmm (No. 65); the cell edges are 5.525, 17.267 and 9.079 Å and the angles 90.00°, 90.00° and 90.00°. Symmetry generates all atoms from Ac at (0.000, 0.000, 0.224), Ac at (0.000, 0.326, 0.254), Nd at (0.000, 0.500, 0.500), Tl at (0.000, 0.142, 0.500), Tl at (0.000, 0.173, 0.000) and Tl at (0.000, 0.500, 0.000).

The energy of formation is -0.26 eV/atom.



Record 5
Below is a geometry-optimized MgGa2SnH structure, with properties calculated at the PBE-GGA level.

The structure belongs to space group P4/mmm (No. 123); the cell edges are 4.520, 4.520 and 4.339 Å and the angles 90.00°, 90.00° and 90.00°. Symmetry generates all atoms from Mg at (0.000, 0.000, 0.000), Ga at (0.000, 0.500, 0.500), Sn at (0.500, 0.500, 0.000) and H at (0.000, 0.000, 0.500).

For the total energy, the calculation gives -2.92 eV/atom.



Record 6
Below is a geometry-optimized K2Ho2BiO6 structure, with properties calculated at the PBE-GGA level.

The structure belongs to space group C2/m (No. 12); the cell edges are 5.991, 10.384 and 6.689 Å and the angles 90.00°, 106.79° and 90.00°. Symmetry generates all atoms from K at (0.000, 0.166, 0.000), Ho at (0.000, 0.335, 0.500), Bi at (0.000, 0.000, 0.500), O at (0.222, 0.171, 0.678) and O at (0.230, 0.500, 0.679).

The uncorrected formation energy is -2.2972 eV/atom.



Record 7
Below is a geometry-optimized BaSrMg2 structure, with properties calculated at the PBE-GGA level.

The structure belongs to space group Immm (No. 71); the cell edges are 3.788, 6.512 and 14.315 Å and the angles 90.00°, 90.00° and 90.00°. Symmetry generates all atoms from Ba at (0.000, 0.000, 0.000), Sr at (0.000, 0.000, 0.500) and Mg at (0.000, 0.000, 0.254).

As for the energy above the most stable polymorph in this dataset: 0.567 eV/atom. The energy of formation is 0.51 eV/atom.



Record 8
Below is a geometry-optimized LiRuBr2 structure, with properties calculated at the PBE-GGA level.

The structure belongs to space group F-43m (No. 216); the cell edges are 7.069, 7.069 and 7.069 Å and the angles 90.00°, 90.00° and 90.00°. Symmetry generates all atoms from Li at (0.000, 0.000, 0.000), Ru at (0.250, 0.250, 0.250), Br at (0.000, 0.000, 0.500) and Br at (0.250, 0.250, 0.750).

As for the energy above the most stable polymorph in this dataset: 0.773 eV/atom. The uncorrected formation energy is 0.6044 eV/atom.



Record 9
Below is a geometry-optimized La4DySb5 structure, with properties calculated at the PBE-GGA level.

The structure belongs to space group I4/m (No. 87); the cell edges are 10.237, 10.237 and 6.485 Å and the angles 90.00°, 90.00° and 90.00°. Symmetry generates all atoms from La at (0.097, 0.300, 0.000), Dy at (0.000, 0.000, 0.500), Sb at (0.000, 0.000, 0.000) and Sb at (0.098, 0.293, 0.500).

As for the energy above the most stable polymorph in this dataset: 0.000 eV/atom. The uncorrected formation energy is -1.2382 eV/atom.



Record 10
Below is a geometry-optimized InHgRu2 structure, with properties calculated at the PBE-GGA level.

The structure belongs to space group Fm-3m (No. 225); the cell edges are 6.498, 6.498 and 6.498 Å and the angles 90.00°, 90.00° and 90.00°. Symmetry generates all atoms from In at (0.000, 0.000, 0.000), Hg at (0.000, 0.000, 0.500) and Ru at (0.250, 0.250, 0.250).

As for the energy above the most stable polymorph in this dataset: 0.190 eV/atom. The energy of formation is 0.42 eV/atom.



Record 11
Below is a geometry-optimized Sc4TcRh structure, with properties calculated at the PBE-GGA level.

The structure belongs to space group P4/mmm (No. 123); the cell edges are 3.315, 3.315 and 10.878 Å and the angles 90.00°, 90.00° and 90.00°. Symmetry generates all atoms from Sc at (0.000, 0.000, 0.136), Sc at (0.500, 0.500, 0.361), Tc at (0.500, 0.500, 0.000) and Rh at (0.000, 0.000, 0.500).

As for the energy above the most stable polymorph in this dataset: 0.000 eV/atom. The energy of formation is -0.43 eV/atom.



Record 12
Below is a geometry-optimized Ti3Pb structure, with properties calculated at the PBE-GGA level.

The structure belongs to space group Fm-3m (No. 225); the cell edges are 6.673, 6.673 and 6.673 Å and the angles 90.00°, 90.00° and 90.00°. Symmetry generates all atoms from Ti at (0.000, 0.000, 0.000), Ti at (0.250, 0.250, 0.250) and Pb at (0.000, 0.000, 0.500).

The energy of formation is 0.06 eV/atom.



no.,total moment (μB per formula unit)
1,0.00
2,0.00
3,0.00
4,0.01
5,0.00
6,0.84
7,0.00
8,3.02
9,0.00
10,1.42
11,0.00
12,1.65